(1)
The following is a PBE calculation of crystalline LiCaPrTl at its relaxed geometry, from Alexandria.

**Calculated formation energy**: -0.26 eV per atom
**Total energy**: -3.02 eV per atom
**Theoretical density**: 5.6 g/cm³

Geometry as CIF:
```
data_LiCaPrTl
_cell_length_a 7.734
_cell_length_b 7.734
_cell_length_c 7.734
_cell_angle_alpha 90.00
_cell_angle_beta 90.00
_cell_angle_gamma 90.00
_symmetry_space_group_name_H-M 'F -4 3 m'
_symmetry_Int_Tables_number 216
_symmetry_space_group_name_Hall 'F -4 2 3'
loop_
_atom_site_label
_atom_site_fract_x
_atom_site_fract_y
_atom_site_fract_z
Li1 0.000 0.000 0.000
Ca1 0.250 0.250 0.250
Pr1 0.250 0.250 0.750
Tl1 0.000 0.000 0.500
```



(2)
The following is a PBE calculation of crystalline Sr2SnO at its relaxed geometry, from Alexandria.

**Relative energy among the computed polymorphs**: 1.13 eV/f.u.
**Formation energy from raw total energies**: -111 kJ per mole of atoms
**Total energy**: -4.23 eV per atom
**Theoretical density**: 4.5 g/cm³

Geometry as CIF:
```
data_Sr2SnO
_cell_length_a 3.7530
_cell_length_b 3.7530
_cell_length_c 28.3771
_cell_angle_alpha 90.00
_cell_angle_beta 90.00
_cell_angle_gamma 120.00
_symmetry_space_group_name_H-M 'R -3 m'
_symmetry_Int_Tables_number 166
_symmetry_space_group_name_Hall '-R 3 2"'
loop_
_atom_site_label
_atom_site_fract_x
_atom_site_fract_y
_atom_site_fract_z
Sr1 0.0000 0.0000 0.1151
Sn1 0.0000 0.0000 0.0000
O1 0.0000 0.0000 0.5000
```



(3)
The following is a PBE calculation of crystalline ScTeS4 at its relaxed geometry, from Alexandria.

**Formation energy from raw total energies**: -61 kJ per mole of atoms
**Total energy**: -4.96 eV per atom
**Theoretical density**: 3.2 g/cm³

Geometry as CIF:
```
data_ScTeS4
_cell_length_a 13.121
_cell_length_b 3.688
_cell_length_c 6.483
_cell_angle_alpha 90.00
_cell_angle_beta 97.50
_cell_angle_gamma 90.00
_symmetry_space_group_name_H-M 'C 1 2/m 1'
_symmetry_Int_Tables_number 12
loop_
_symmetry_equiv_pos_as_xyz
'x,y,z'
'-x,-y,-z'
'-x,y,-z'
'x,-y,z'
'x+1/2,y+1/2,z'
'-x+1/2,-y+1/2,-z'
'-x+1/2,y+1/2,-z'
'x+1/2,-y+1/2,z'
loop_
_atom_site_label
_atom_site_fract_x
_atom_site_fract_y
_atom_site_fract_z
Sc1 0.000 0.000 0.000
Te1 0.000 0.500 0.500
S1 0.110 0.500 0.857
S2 0.116 0.000 0.361
```



(4)
The following is a PBE calculation of crystalline BaHg2Te at its relaxed geometry, from Alexandria.

**Formation energy from raw total energies**: -61 kJ per mole of atoms
**Total energy**: -2.05 eV per atom
**Theoretical density**: 7.6 g/cm³

Geometry as CIF:
```
data_BaHg2Te
_cell_length_a 9.290
_cell_length_b 9.290
_cell_length_c 6.748
_cell_angle_alpha 90.00
_cell_angle_beta 90.00
_cell_angle_gamma 90.00
_symmetry_space_group_name_H-M 'I -4 2 d'
_symmetry_Int_Tables_number 122
_symmetry_space_group_name_Hall 'I -4 2bw'
loop_
_atom_site_label
_atom_site_fract_x
_atom_site_fract_y
_atom_site_fract_z
Ba1 0.000 0.000 0.000
Hg1 0.227 0.250 0.625
Te1 0.000 0.000 0.500
```